A plane-wave DFT calculation with PBE was carried out for a geometry-optimized Rb2Hg3Ge2S8 structure. Values from VASP.

Geometry as Quantum ESPRESSO input:
```
&SYSTEM
  ibrav = 0, nat = 30, ntyp = 4
/
ATOMIC_SPECIES
Rb 85.47 Rb.upf
Hg 200.59 Hg.upf
Ge 72.64 Ge.upf
S 32.06 S.upf
ATOMIC_POSITIONS crystal
Rb 0.229 0.154 0.321
Rb 0.229 0.346 0.821
Rb 0.771 0.654 0.179
Rb 0.771 0.846 0.679
Hg 0.000 0.000 0.000
Hg 0.000 0.500 0.500
Hg 0.492 0.217 0.112
Hg 0.492 0.283 0.612
Hg 0.508 0.717 0.388
Hg 0.508 0.783 0.888
Ge 0.284 0.701 0.084
Ge 0.284 0.799 0.584
Ge 0.716 0.201 0.416
Ge 0.716 0.299 0.916
S 0.089 0.694 0.639
S 0.089 0.806 0.139
S 0.267 0.139 0.589
S 0.267 0.361 0.089
S 0.274 0.687 0.426
S 0.274 0.813 0.926
S 0.455 0.672 0.677
S 0.455 0.828 0.177
S 0.545 0.172 0.823
S 0.545 0.328 0.323
S 0.726 0.187 0.074
S 0.726 0.313 0.574
S 0.733 0.639 0.911
S 0.733 0.861 0.411
S 0.911 0.194 0.861
S 0.911 0.306 0.361
CELL_PARAMETERS angstrom
10.107 0.000 0.000
0.000 6.580 0.000
-1.392 0.000 13.486
```

Summary:
V = 29.90 Å³ per atom
Total energy = -3.5448 eV per atom
Formation energy from raw total energies = -0.539 eV/atom
Density of states at the Fermi level = 0.0 states/eV/cell
Theoretical density = 4.3 Mg/m³
Symmetry = No. 14


A plane-wave DFT calculation with PBE was carried out for a geometry-optimized SmFeC2 structure. Values from VASP.

Geometry as Quantum ESPRESSO input:
```
&SYSTEM
  ibrav = 0, nat = 4, ntyp = 3
/
ATOMIC_SPECIES
Sm 150.36 Sm.upf
Fe 55.84 Fe.upf
C 12.01 C.upf
ATOMIC_POSITIONS crystal
Sm 0.000 0.000 0.000
Fe 0.500 0.609 0.609
C 0.500 0.138 0.447
C 0.500 0.447 0.138
CELL_PARAMETERS angstrom
3.843 0.000 0.000
0.000 2.270 2.956
0.000 -2.270 2.956
```

Summary:
V = 12.90 Å³ per atom
Total energy = -8.1152 eV per atom
Density of states at the Fermi level = 2.5 states/eV/cell
Theoretical density = 7.4 Mg/m³
Symmetry = No. 38


A plane-wave DFT calculation with PBE was carried out for a geometry-optimized SrPrCd structure. Values from VASP.

Geometry as Quantum ESPRESSO input:
```
&SYSTEM
  ibrav = 0, nat = 3, ntyp = 3
/
ATOMIC_SPECIES
Sr 87.62 Sr.upf
Pr 140.91 Pr.upf
Cd 112.41 Cd.upf
ATOMIC_POSITIONS crystal
Sr 0.000 0.000 0.000
Pr 0.283 0.283 0.000
Cd 0.655 0.655 0.000
CELL_PARAMETERS angstrom
-1.955 1.955 7.036
1.955 -1.955 7.036
1.955 1.955 -7.036
```

Summary:
V = 35.87 Å³ per atom
Total energy = -2.6209 eV per atom
Density of states at the Fermi level = 3.4 states/eV/cell
Energy above the lowest structure with this stoichiometry = 0 meV per atom
Theoretical density = 5.3 Mg/m³
Symmetry = No. 107


A plane-wave DFT calculation with PBE was carried out for a geometry-optimized Na2CrIn2 structure. Values from VASP.

Geometry as Quantum ESPRESSO input:
```
&SYSTEM
  ibrav = 0, nat = 10, ntyp = 3
/
ATOMIC_SPECIES
Na 22.99 Na.upf
Cr 52.00 Cr.upf
In 114.82 In.upf
ATOMIC_POSITIONS crystal
Na 0.170 0.330 0.000
Na 0.330 0.830 0.000
Na 0.670 0.170 0.000
Na 0.830 0.670 0.000
Cr 0.000 0.000 0.500
Cr 0.500 0.500 0.500
In 0.144 0.644 0.500
In 0.356 0.144 0.500
In 0.644 0.856 0.500
In 0.856 0.356 0.500
CELL_PARAMETERS angstrom
7.282 0.000 0.000
0.000 7.282 0.000
0.000 0.000 5.228
```

Summary:
V = 27.72 Å³ per atom
Total energy = -3.2767 eV per atom
Density of states at the Fermi level = 5.6 states/eV/cell
Energy above the lowest structure with this stoichiometry = 0 meV per atom
Theoretical density = 3.9 Mg/m³
Symmetry = No. 127


A plane-wave DFT calculation with PBE was carried out for a geometry-optimized Li2BeAg structure. Values from VASP.

Geometry as Quantum ESPRESSO input:
```
&SYSTEM
  ibrav = 0, nat = 4, ntyp = 3
/
ATOMIC_SPECIES
Li 6.94 Li.upf
Be 9.01 Be.upf
Ag 107.87 Ag.upf
ATOMIC_POSITIONS crystal
Li 0.000 0.000 0.000
Li 0.238 0.238 0.238
Be 0.492 0.492 0.492
Ag 0.753 0.753 0.753
CELL_PARAMETERS angstrom
1.417 0.818 8.868
-1.417 0.818 8.868
0.000 -1.636 8.868
```

Summary:
V = 15.41 Å³ per atom
Total energy = -2.4186 eV per atom
Density of states at the Fermi level = 1.7 states/eV/cell
Theoretical density = 3.5 Mg/m³
Symmetry = No. 160


A plane-wave DFT calculation with PBE was carried out for a geometry-optimized HoSnHg structure. Values from VASP.

Geometry as Quantum ESPRESSO input:
```
&SYSTEM
  ibrav = 0, nat = 3, ntyp = 3
/
ATOMIC_SPECIES
Ho 164.93 Ho.upf
Sn 118.71 Sn.upf
Hg 200.59 Hg.upf
ATOMIC_POSITIONS crystal
Ho 0.000 0.000 0.000
Sn 0.667 0.333 0.576
Hg 0.333 0.667 0.326
CELL_PARAMETERS angstrom
4.877 0.000 0.000
-2.439 4.224 0.000
0.000 0.000 3.717
```

Summary:
V = 25.52 Å³ per atom
Total energy = -3.3933 eV per atom
Density of states at the Fermi level = 1.1 states/eV/cell
Theoretical density = 10.5 Mg/m³
Symmetry = No. 156


A plane-wave DFT calculation with PBE was carried out for a geometry-optimized CdGa3 structure. Values from VASP.

Geometry as Quantum ESPRESSO input:
```
&SYSTEM
  ibrav = 0, nat = 4, ntyp = 2
/
ATOMIC_SPECIES
Cd 112.41 Cd.upf
Ga 69.72 Ga.upf
ATOMIC_POSITIONS crystal
Cd 0.000 0.000 0.000
Ga 0.250 0.750 0.500
Ga 0.500 0.500 0.000
Ga 0.750 0.250 0.500
CELL_PARAMETERS angstrom
-2.147 2.147 4.343
2.147 -2.147 4.343
2.147 2.147 -4.343
```

Summary:
V = 20.02 Å³ per atom
Total energy = -2.4555 eV per atom
Density of states at the Fermi level = 1.3 states/eV/cell
Theoretical density = 6.7 Mg/m³
Symmetry = No. 139


A plane-wave DFT calculation with PBE was carried out for a geometry-optimized ZnPtO2F structure. Values from VASP.

Geometry as Quantum ESPRESSO input:
```
&SYSTEM
  ibrav = 0, nat = 5, ntyp = 4
/
ATOMIC_SPECIES
Zn 65.41 Zn.upf
Pt 195.08 Pt.upf
O 16.00 O.upf
F 19.00 F.upf
ATOMIC_POSITIONS crystal
Zn 0.000 0.000 0.000
Pt 0.500 0.500 0.500
O 0.000 0.500 0.500
O 0.500 0.000 0.500
F 0.500 0.500 0.000
CELL_PARAMETERS angstrom
3.924 0.000 0.000
0.000 3.924 0.000
0.000 0.000 4.465
```

Summary:
V = 13.75 Å³ per atom
Total energy = -4.0782 eV per atom
Formation energy from raw total energies = -0.258 eV/atom
Density of states at the Fermi level = 3.1 states/eV/cell
Theoretical density = 7.5 Mg/m³
Symmetry = No. 123


A plane-wave DFT calculation with PBE was carried out for a geometry-optimized Al2InRu structure. Values from VASP.

Geometry as Quantum ESPRESSO input:
```
&SYSTEM
  ibrav = 0, nat = 4, ntyp = 3
/
ATOMIC_SPECIES
Al 26.98 Al.upf
In 114.82 In.upf
Ru 101.07 Ru.upf
ATOMIC_POSITIONS crystal
Al 0.000 0.000 0.000
Al 0.246 0.246 0.742
In 0.765 0.765 0.271
Ru 0.517 0.517 0.568
CELL_PARAMETERS angstrom
4.567 -1.574 0.000
4.567 1.574 0.000
-1.000 0.000 4.634
```

Summary:
V = 16.66 Å³ per atom
Total energy = -4.9726 eV per atom
Density of states at the Fermi level = 2.2 states/eV/cell
Theoretical density = 6.7 Mg/m³
Symmetry = No. 8


A plane-wave DFT calculation with PBE was carried out for a geometry-optimized MnTeCl2 structure. Values from VASP.

Geometry as Quantum ESPRESSO input:
```
&SYSTEM
  ibrav = 0, nat = 4, ntyp = 3
/
ATOMIC_SPECIES
Mn 54.94 Mn.upf
Te 127.60 Te.upf
Cl 35.45 Cl.upf
ATOMIC_POSITIONS crystal
Mn 0.000 0.000 0.000
Te 0.500 0.500 0.222
Cl 0.000 0.000 0.468
Cl 0.500 0.500 0.831
CELL_PARAMETERS angstrom
1.797 -3.294 0.000
1.797 3.294 0.000
0.000 0.000 9.001
```

Summary:
V = 26.65 Å³ per atom
Total energy = -4.2552 eV per atom
Formation energy from raw total energies = -0.254 eV/atom
Density of states at the Fermi level = 2.5 states/eV/cell
Energy above the lowest structure with this stoichiometry = 347 meV per atom
Theoretical density = 3.9 Mg/m³
Symmetry = No. 35


Q: Which formula does entry 9 have?
A: Al2InRu